Material: Li2TlMo
Method: DFT, SCAN
State: single point on PBEsol structure

Values from the calculation:
- ΔH_f (0 K) (eV/atom) = 0.62
- space-group type = I-42d (122)
- magnetization (μB/f.u.) = 2.95
- DOS at the Fermi energy (states/eV/f.u.) = 1.3

a b c (Å): 5.5270 5.8182 5.8182
angles (deg): 76.96 61.64 61.64
Last column: magnetic moment on the atom in μB.
Fractional coordinates of all 8 atoms:
Tl1 0.7500 0.5000 0.5000  -0.04
Tl2 0.0000 0.0000 0.0000  -0.04
Mo1 0.2500 0.5000 0.5000  2.67
Mo2 0.5000 0.0000 0.0000  2.67
Li1 0.1196 0.0054 0.5054  0.01
Li2 0.6304 0.9946 0.4946  0.01
Li3 0.3750 0.5054 0.9946  0.01
Li4 0.8750 0.4946 0.0054  0.01